# Na2TiWF PBE with a Hubbard U optimized geometry
data_Na2TiWF
_cell_length_a 5.9089
_cell_length_b 5.9089
_cell_length_c 5.0010
_cell_angle_alpha 90.00
_cell_angle_beta 90.00
_cell_angle_gamma 90.00
_space_group_name_H-M_alt 'P 1'
_space_group_IT_number 1
loop_
_space_group_symop_operation_xyz
'x,y,z'
loop_
_atom_site_label
_atom_site_type_symbol
_atom_site_fract_x
_atom_site_fract_y
_atom_site_fract_z
_atom_site_occupancy
Na1 Na 0.0000 0.5000 0.0000 1
Na2 Na 0.5000 0.0000 0.0000 1
Ti1 Ti 0.0000 0.0000 0.5000 1
W1 W 0.0000 0.0000 0.0000 1
F1 F 0.5000 0.5000 0.5000 1
# - DOS(E_F) (states/eV/cell) = 6.36
# - size of the total moment (μB/f.u.) = 2.29
# - uncorrected energy (eV/cell) = -15.08